(1)
DFT (PBE) results for a relaxed Y2CCl crystal.

```
data_Y2CCl
_space_group_name_H-M_alt 'P 1'
_space_group_IT_number 1
_cell_length_a 6.030
_cell_length_b 6.030
_cell_length_c 6.954
_cell_angle_alpha 64.30
_cell_angle_beta 64.30
_cell_angle_gamma 90.00
loop_
_space_group_symop_operation_xyz
'x,y,z'
loop_
_atom_site_label
_atom_site_type_symbol
_atom_site_fract_x
_atom_site_fract_y
_atom_site_fract_z
_atom_site_occupancy
Y1 Y 0.557 0.125 0.250 1
Y2 Y 0.193 0.625 0.250 1
Y3 Y 0.375 0.443 0.750 1
Y4 Y 0.875 0.807 0.750 1
C1 C 0.500 0.500 0.000 1
C2 C 0.250 0.750 0.500 1
Cl1 Cl 0.000 0.000 0.000 1
Cl2 Cl 0.750 0.250 0.500 1
```

Results
Density of states at the Fermi level (states/eV per cell): 3.433
ΔE_f (raw) (eV/atom): -0.70



(2)
DFT (PBE) results for a relaxed YC2Cl crystal.

```
data_YC2Cl
_space_group_name_H-M_alt 'P 1'
_space_group_IT_number 1
_cell_length_a 4.353
_cell_length_b 4.353
_cell_length_c 4.353
_cell_angle_alpha 60.00
_cell_angle_beta 60.00
_cell_angle_gamma 60.00
loop_
_space_group_symop_operation_xyz
'x,y,z'
loop_
_atom_site_label
_atom_site_type_symbol
_atom_site_fract_x
_atom_site_fract_y
_atom_site_fract_z
_atom_site_occupancy
Y1 Y 0.500 0.500 0.500 1
C1 C 0.250 0.250 0.250 1
C2 C 0.750 0.750 0.750 1
Cl1 Cl 0.000 0.000 0.000 1
```

Results
Density of states at the Fermi level (states/eV per cell): 3.425
Relative energy among the computed polymorphs (meV per atom): 443
ΔE_f (raw) (eV/atom): 1.75



(3)
DFT (PBE) results for a relaxed YCCl2 crystal.

```
data_YCCl2
_space_group_name_H-M_alt 'P 1'
_space_group_IT_number 1
_cell_length_a 8.525
_cell_length_b 8.525
_cell_length_c 8.525
_cell_angle_alpha 25.54
_cell_angle_beta 25.54
_cell_angle_gamma 25.54
loop_
_space_group_symop_operation_xyz
'x,y,z'
loop_
_atom_site_label
_atom_site_type_symbol
_atom_site_fract_x
_atom_site_fract_y
_atom_site_fract_z
_atom_site_occupancy
Y1 Y 0.500 0.500 0.500 1
C1 C 0.000 0.000 0.000 1
Cl1 Cl 0.901 0.901 0.901 1
Cl2 Cl 0.099 0.099 0.099 1
```

Results
Density of states at the Fermi level (states/eV per cell): 3.594
Relative energy among the computed polymorphs (meV per atom): 281
ΔE_f (raw) (eV/atom): 0.40



(4)
DFT (PBE) results for a relaxed Y7CCl12 crystal.

```
data_Y7CCl12
_space_group_name_H-M_alt 'P 1'
_space_group_IT_number 1
_cell_length_a 8.586
_cell_length_b 8.586
_cell_length_c 8.586
_cell_angle_alpha 107.51
_cell_angle_beta 107.51
_cell_angle_gamma 107.51
loop_
_space_group_symop_operation_xyz
'x,y,z'
loop_
_atom_site_label
_atom_site_type_symbol
_atom_site_fract_x
_atom_site_fract_y
_atom_site_fract_z
_atom_site_occupancy
Y1 Y 0.969 0.688 0.893 1
Y2 Y 0.312 0.107 0.031 1
Y3 Y 0.107 0.031 0.312 1
Y4 Y 0.500 0.500 0.500 1
Y5 Y 0.893 0.969 0.688 1
Y6 Y 0.688 0.893 0.969 1
Y7 Y 0.031 0.312 0.107 1
C1 C 0.000 0.000 0.000 1
Cl1 Cl 0.922 0.314 0.776 1
Cl2 Cl 0.686 0.224 0.078 1
Cl3 Cl 0.468 0.157 0.385 1
Cl4 Cl 0.843 0.615 0.532 1
Cl5 Cl 0.224 0.078 0.686 1
Cl6 Cl 0.615 0.532 0.843 1
Cl7 Cl 0.385 0.468 0.157 1
Cl8 Cl 0.776 0.922 0.314 1
Cl9 Cl 0.157 0.385 0.468 1
Cl10 Cl 0.532 0.843 0.615 1
Cl11 Cl 0.314 0.776 0.922 1
Cl12 Cl 0.078 0.686 0.224 1
```

Results
Density of states at the Fermi level (states/eV per cell): 11.267
ΔE_f (raw) (eV/atom): -1.92



(5)
DFT (PBE) results for a relaxed ZnCCl3 crystal.

```
data_ZnCCl3
_space_group_name_H-M_alt 'P 1'
_space_group_IT_number 1
_cell_length_a 4.825
_cell_length_b 4.825
_cell_length_c 4.825
_cell_angle_alpha 90.00
_cell_angle_beta 90.00
_cell_angle_gamma 90.00
loop_
_space_group_symop_operation_xyz
'x,y,z'
loop_
_atom_site_label
_atom_site_type_symbol
_atom_site_fract_x
_atom_site_fract_y
_atom_site_fract_z
_atom_site_occupancy
Zn1 Zn 0.000 0.000 0.000 1
C1 C 0.500 0.500 0.500 1
Cl1 Cl 0.000 0.500 0.000 1
Cl2 Cl 0.000 0.000 0.500 1
Cl3 Cl 0.500 0.000 0.000 1
```

Results
Density of states at the Fermi level (states/eV per cell): 2.554
Relative energy among the computed polymorphs (meV per atom): 145
ΔE_f (raw) (eV/atom): 0.98



(6)
DFT (PBE) results for a relaxed Zn2CCl crystal.

```
data_Zn2CCl
_space_group_name_H-M_alt 'P 1'
_space_group_IT_number 1
_cell_length_a 7.268
_cell_length_b 3.388
_cell_length_c 6.103
_cell_angle_alpha 90.00
_cell_angle_beta 91.03
_cell_angle_gamma 90.00
loop_
_space_group_symop_operation_xyz
'x,y,z'
loop_
_atom_site_label
_atom_site_type_symbol
_atom_site_fract_x
_atom_site_fract_y
_atom_site_fract_z
_atom_site_occupancy
Zn1 Zn 0.609 0.000 0.677 1
Zn2 Zn 0.609 0.500 0.177 1
Zn3 Zn 0.290 0.000 0.999 1
Zn4 Zn 0.290 0.500 0.499 1
C1 C 0.562 0.000 0.003 1
C2 C 0.562 0.500 0.503 1
Cl1 Cl 0.093 0.000 0.667 1
Cl2 Cl 0.093 0.500 0.167 1
```

Results
Density of states at the Fermi level (states/eV per cell): 1.680
Relative energy among the computed polymorphs (meV per atom): 250
ΔE_f (raw) (eV/atom): 0.31



(7)
DFT (PBE) results for a relaxed Zn2CCl crystal.

```
data_Zn2CCl
_space_group_name_H-M_alt 'P 1'
_space_group_IT_number 1
_cell_length_a 4.987
_cell_length_b 3.759
_cell_length_c 15.179
_cell_angle_alpha 90.00
_cell_angle_beta 102.91
_cell_angle_gamma 90.00
loop_
_space_group_symop_operation_xyz
'x,y,z'
loop_
_atom_site_label
_atom_site_type_symbol
_atom_site_fract_x
_atom_site_fract_y
_atom_site_fract_z
_atom_site_occupancy
Zn1 Zn 0.935 0.000 0.136 1
Zn2 Zn 0.935 0.500 0.636 1
Zn3 Zn 0.679 0.000 0.377 1
Zn4 Zn 0.679 0.500 0.877 1
Zn5 Zn 0.476 0.000 0.973 1
Zn6 Zn 0.476 0.500 0.473 1
Zn7 Zn 0.243 0.000 0.553 1
Zn8 Zn 0.243 0.500 0.053 1
C1 C 0.614 0.000 0.509 1
C2 C 0.614 0.500 0.009 1
C3 C 0.879 0.000 0.584 1
C4 C 0.879 0.500 0.084 1
Cl1 Cl 0.464 0.000 0.226 1
Cl2 Cl 0.464 0.500 0.726 1
Cl3 Cl 0.011 0.000 0.865 1
Cl4 Cl 0.011 0.500 0.365 1
```

Results
Density of states at the Fermi level (states/eV per cell): 1.880
Relative energy among the computed polymorphs (meV per atom): 57
ΔE_f (raw) (eV/atom): 0.11



(8)
DFT (PBE) results for a relaxed Zn2CCl crystal.

```
data_Zn2CCl
_space_group_name_H-M_alt 'P 1'
_space_group_IT_number 1
_cell_length_a 4.847
_cell_length_b 5.422
_cell_length_c 5.427
_cell_angle_alpha 90.00
_cell_angle_beta 90.08
_cell_angle_gamma 90.00
loop_
_space_group_symop_operation_xyz
'x,y,z'
loop_
_atom_site_label
_atom_site_type_symbol
_atom_site_fract_x
_atom_site_fract_y
_atom_site_fract_z
_atom_site_occupancy
Zn1 Zn 0.388 0.559 0.250 1
Zn2 Zn 0.612 0.559 0.750 1
Zn3 Zn 0.388 0.059 0.750 1
Zn4 Zn 0.612 0.059 0.250 1
C1 C 0.500 0.808 0.500 1
C2 C 0.500 0.308 0.000 1
Cl1 Cl 0.000 0.808 0.000 1
Cl2 Cl 0.000 0.308 0.500 1
```

Results
Density of states at the Fermi level (states/eV per cell): 1.427
Relative energy among the computed polymorphs (meV per atom): 236
ΔE_f (raw) (eV/atom): 0.29



(9)
DFT (PBE) results for a relaxed Zn2CCl crystal.

```
data_Zn2CCl
_space_group_name_H-M_alt 'P 1'
_space_group_IT_number 1
_cell_length_a 3.079
_cell_length_b 3.477
_cell_length_c 6.470
_cell_angle_alpha 84.83
_cell_angle_beta 83.55
_cell_angle_gamma 67.75
loop_
_space_group_symop_operation_xyz
'x,y,z'
loop_
_atom_site_label
_atom_site_type_symbol
_atom_site_fract_x
_atom_site_fract_y
_atom_site_fract_z
_atom_site_occupancy
Zn1 Zn 0.223 0.268 0.713 1
Zn2 Zn 0.067 0.765 0.372 1
C1 C 0.733 0.348 0.490 1
Cl1 Cl 0.176 0.764 0.979 1
```

Results
Density of states at the Fermi level (states/eV per cell): 0.967
Relative energy among the computed polymorphs (meV per atom): 286
ΔE_f (raw) (eV/atom): 0.34



(10)
DFT (PBE) results for a relaxed Zn2CCl crystal.

```
data_Zn2CCl
_space_group_name_H-M_alt 'P 1'
_space_group_IT_number 1
_cell_length_a 3.237
_cell_length_b 3.555
_cell_length_c 5.951
_cell_angle_alpha 90.00
_cell_angle_beta 90.00
_cell_angle_gamma 90.00
loop_
_space_group_symop_operation_xyz
'x,y,z'
loop_
_atom_site_label
_atom_site_type_symbol
_atom_site_fract_x
_atom_site_fract_y
_atom_site_fract_z
_atom_site_occupancy
Zn1 Zn 0.500 0.000 0.294 1
Zn2 Zn 0.000 0.500 0.651 1
C1 C 0.000 0.000 0.500 1
Cl1 Cl 0.500 0.500 0.000 1
```

Results
Density of states at the Fermi level (states/eV per cell): 0.651
Relative energy among the computed polymorphs (meV per atom): 231
ΔE_f (raw) (eV/atom): 0.29



(11)
DFT (PBE) results for a relaxed Zn2CCl crystal.

```
data_Zn2CCl
_space_group_name_H-M_alt 'P 1'
_space_group_IT_number 1
_cell_length_a 3.303
_cell_length_b 6.166
_cell_length_c 7.956
_cell_angle_alpha 102.88
_cell_angle_beta 90.38
_cell_angle_gamma 105.20
loop_
_space_group_symop_operation_xyz
'x,y,z'
loop_
_atom_site_label
_atom_site_type_symbol
_atom_site_fract_x
_atom_site_fract_y
_atom_site_fract_z
_atom_site_occupancy
Zn1 Zn 0.602 0.774 0.355 1
Zn2 Zn 0.510 0.614 0.725 1
Zn3 Zn 0.988 0.537 0.963 1
Zn4 Zn 0.352 0.226 0.023 1
C1 C 0.182 0.930 0.096 1
C2 C 0.120 0.819 0.214 1
Cl1 Cl 0.427 0.417 0.428 1
Cl2 Cl 0.706 0.982 0.644 1
```

Results
Density of states at the Fermi level (states/eV per cell): 0.826
Relative energy among the computed polymorphs (meV per atom): 6
ΔE_f (raw) (eV/atom): 0.06



(12)
DFT (PBE) results for a relaxed ZnCCl2 crystal.

```
data_ZnCCl2
_space_group_name_H-M_alt 'P 1'
_space_group_IT_number 1
_cell_length_a 4.563
_cell_length_b 4.563
_cell_length_c 4.563
_cell_angle_alpha 60.00
_cell_angle_beta 60.00
_cell_angle_gamma 60.00
loop_
_space_group_symop_operation_xyz
'x,y,z'
loop_
_atom_site_label
_atom_site_type_symbol
_atom_site_fract_x
_atom_site_fract_y
_atom_site_fract_z
_atom_site_occupancy
Zn1 Zn 0.500 0.500 0.500 1
C1 C 0.000 0.000 0.000 1
Cl1 Cl 0.250 0.250 0.250 1
Cl2 Cl 0.750 0.750 0.750 1
```

Results
Density of states at the Fermi level (states/eV per cell): 4.418
Relative energy among the computed polymorphs (meV per atom): 351
ΔE_f (raw) (eV/atom): 1.45